# VCoBi, relaxed, DFT PBE
data_VCoBi
_symmetry_space_group_name_H-M 'P 1'
_symmetry_Int_Tables_number 1
_cell_length_a 3.083
_cell_length_b 3.085
_cell_length_c 11.590
_cell_angle_alpha 97.53
_cell_angle_beta 97.49
_cell_angle_gamma 90.63
loop_
_symmetry_equiv_pos_as_xyz
'x,y,z'
loop_
_atom_site_label
_atom_site_type_symbol
_atom_site_fract_x
_atom_site_fract_y
_atom_site_fract_z
V1 V 0.000 0.000 0.000
V2 V 0.279 0.284 0.570
Co1 Co 0.547 0.547 0.095
Co2 Co 0.731 0.737 0.474
Bi1 Bi 0.139 0.142 0.285
Bi2 Bi 0.394 0.892 0.785
# calculated formation energy	1.2	eV per formula unit
# DOS at the Fermi energy	0.976	states/eV per atom